# 1
Here is crystalline Cr2CuBr at its relaxed geometry from Alexandria. Energies are from GGA-PBE.

Results
E_form (uncorrected) = 1.012 eV/atom
final energy = -5.242 eV per atom
energy above the lowest structure with this stoichiometry = 2.64 eV per formula unit

Cell and atoms, written as extended XYZ:
```
4
Lattice="2.363 1.742 3.014 -0.942 3.832 1.461 -1.545 0.448 3.888" Properties=species:S:1:pos:R:3 pbc="T T T"
Cr -0.031 1.505 2.091
Cr -0.093 4.516 6.272
Cu 0.000 0.000 0.000
Br -0.062 3.011 4.181
```

# 2
Here is crystalline Sm2DyIn3Hg6 at its relaxed geometry from Alexandria. Energies are from GGA-PBE.

Results
final energy = -2.082 eV per atom
energy relative to the elements = -77 meV per atom

Cell and atoms, written as extended XYZ:
```
12
Lattice="4.265 0.000 0.000 0.000 4.265 0.000 0.000 0.000 20.328" Properties=species:S:1:pos:R:3 pbc="T T T"
Hg 0.000 0.000 2.788
In 0.000 0.000 0.000
Sm 2.132 2.132 4.427
Dy 2.132 2.132 10.164
In 0.000 0.000 5.694
Sm 2.132 2.132 15.902
Hg 0.000 2.132 12.439
Hg 0.000 0.000 17.541
Hg 2.132 0.000 7.889
Hg 0.000 2.132 7.889
In 0.000 0.000 14.635
Hg 2.132 0.000 12.439
```

# 3
Here is crystalline Zn2Ag2Pd at its relaxed geometry from Alexandria. Energies are from GGA-PBE.

Results
final energy = -2.582 eV per atom
energy above the lowest structure with this stoichiometry = 0.90 eV per formula unit
energy relative to the elements = 107 meV per atom

Cell and atoms, written as extended XYZ:
```
5
Lattice="-1.993 -2.365 1.738 2.766 -0.809 2.071 -1.518 3.286 6.352" Properties=species:S:1:pos:R:3 pbc="T T T"
Zn -1.563 -0.333 4.998
Ag 0.000 -0.599 2.806
Zn 0.817 0.445 5.164
Ag -0.746 0.711 7.355
Pd 0.000 0.000 0.000
```

# 4
Here is crystalline NiHgPb2 at its relaxed geometry from Alexandria. Energies are from GGA-PBE.

Results
final energy = -3.242 eV per atom
energy relative to the elements = 133 meV per atom

Cell and atoms, written as extended XYZ:
```
4
Lattice="7.299 0.103 -0.025 5.137 5.186 0.025 -5.881 -3.437 2.625" Properties=species:S:1:pos:R:3 pbc="T T T"
Pb 0.985 0.419 0.000
Pb 5.233 2.225 0.000
Hg 3.818 -0.345 1.300
Ni 2.737 2.197 1.325
```